(1)
Computed, not measured: a relaxed LaSn12Ru4 crystal at the PBE level of DFT.

Cell: 8.2357 8.2357 8.2357 Å, 109.47 109.47 109.47°
Last column: nearest neighbours and their distance in Å.
Positions (direct):
1 Sn 0.3330 0.1675 0.8346  2 Ru 2.63
2 Sn 0.8346 0.6670 0.5016  2 Ru 2.63
3 Sn 0.5016 0.8346 0.6670  2 Ru 2.63
4 Sn 0.3330 0.4984 0.1654  2 Ru 2.63
5 Sn 0.1675 0.8346 0.3330  2 Ru 2.63
6 Sn 0.6670 0.5016 0.8346  2 Ru 2.63
7 Sn 0.6670 0.8325 0.1654  2 Ru 2.63
8 Sn 0.1654 0.3330 0.4984  2 Ru 2.63
9 Sn 0.1654 0.6670 0.8325  2 Ru 2.63
10 Sn 0.8325 0.1654 0.6670  2 Ru 2.63
11 Sn 0.4984 0.1654 0.3330  2 Ru 2.63
12 Sn 0.8346 0.3330 0.1675  2 Ru 2.63
13 Ru 0.0000 0.5000 0.0000  6 Sn 2.63
14 Ru 0.0000 0.0000 0.5000  6 Sn 2.63
15 Ru 0.5000 0.5000 0.5000  6 Sn 2.63
16 Ru 0.5000 0.0000 0.0000  6 Sn 2.63
17 La 0.0000 0.0000 0.0000  12 Sn 3.54

---

(2)
Computed, not measured: a relaxed La2SnRu crystal at the PBE level of DFT.

Cell: 6.4815 6.5426 11.8781 Å, 105.85 90.00 90.00°
Last column: nearest neighbours and their distance in Å.
Positions (direct):
1 Ru 0.7497 0.1052 0.1305  2 La 2.50-2.51
2 Ru 0.2503 0.6052 0.6305  2 La 2.50-2.51
3 Ru 0.7497 0.3948 0.3695  2 La 2.50-2.51
4 Ru 0.2503 0.8948 0.8695  2 La 2.50-2.51
5 La 0.7490 0.0120 0.3698  1 Ru 2.51
6 La 0.2501 0.4521 0.4134  1 Ru 2.50
7 La 0.2510 0.9880 0.6302  1 Ru 2.51
8 La 0.7499 0.5479 0.5866  1 Ru 2.50
9 La 0.2510 0.5120 0.8698  1 Ru 2.51
10 La 0.2501 0.0479 0.0866  1 Ru 2.50
11 La 0.7490 0.4880 0.1302  1 Ru 2.51
12 La 0.7499 0.9521 0.9134  1 Ru 2.50
13 Sn 0.2488 0.9237 0.3499  1 Sn 2.80
14 Sn 0.2488 0.5763 0.1501  1 Sn 2.80
15 Sn 0.7512 0.0763 0.6501  1 Sn 2.80
16 Sn 0.7512 0.4237 0.8499  1 Sn 2.80

---

(3)
Computed, not measured: a relaxed LaSnRu crystal at the PBE level of DFT.

Cell: 4.0985 4.6064 4.6064 Å, 120.00 90.00 90.00°
Last column: nearest neighbours and their distance in Å.
Positions (direct):
1 Sn 0.1670 0.6667 0.3333  3 Ru 2.66
2 Ru 0.1658 0.0000 0.0000  3 Sn 2.66
3 La 0.6672 0.3333 0.6667  6 Ru 3.35-3.36, 6 Sn 3.36

---

no.,E (eV/atom),ΔE_f (meV/atom)
1,-5.3620,-64
2,-6.0599,-277
3,-6.4113,-343